Density functional theory data (PBE) for an optimized crystal structure of Gd3Fe4Si4.

Calculated values
spin magnetization	3.22	μB per formula unit
VASP energy	-0.2492	hartree per atom

abc: 12.131 12.131 12.131
angles: 161.37 161.04 26.70
Sites, in units of the cell vectors:
1 Gd 0.000 0.000 0.000
2 Gd 0.351 0.851 0.500
3 Gd 0.649 0.149 0.500
4 Si 0.200 0.700 0.500
5 Si 0.449 0.449 0.000
6 Si 0.800 0.300 0.500
7 Si 0.551 0.551 0.000
8 Fe 0.250 0.250 0.000
9 Fe 0.099 0.599 0.500
10 Fe 0.750 0.750 0.000
11 Fe 0.901 0.401 0.500